Compound: Gd2Mo3O12
Source: Alexandria via LeMat-Bulk
Functional: PBE with a Hubbard U
Structure: optimized geometry

Calculated values
For the energy above the lowest structure with this stoichiometry, the calculation gives 0.00 eV per formula unit.

Cell and atoms, written as POSCAR:
```
Gd2Mo3O12
1.0
7.530 0.000 0.000
0.000 7.530 0.000
0.000 0.000 10.811
O Gd Mo
24 4 6
Cartesian
1.476 2.289 5.622
5.182 4.110 9.770
2.809 0.956 3.334
4.720 6.574 3.334
7.185 6.112 9.770
0.956 4.720 7.478
1.700 0.025 7.605
6.574 2.809 7.478
4.110 2.347 1.041
3.739 2.065 7.605
7.504 1.700 3.207
5.465 3.739 3.207
0.345 1.417 9.770
2.289 6.054 5.189
6.112 0.345 1.041
5.830 7.504 7.605
3.790 5.465 7.605
1.417 7.185 1.041
5.241 1.476 5.189
2.347 3.420 9.770
0.025 5.830 3.207
3.420 5.182 1.041
2.065 3.790 3.207
6.054 5.241 5.622
1.417 2.348 7.969
6.113 5.181 7.969
5.181 1.417 2.843
2.348 6.113 2.843
0.000 0.000 0.000
3.765 3.765 0.000
2.202 5.967 6.968
1.562 2.202 3.844
5.967 5.327 3.844
5.327 1.562 6.968
```